Entry 1:
# HfC GGA-PBEsol optimized geometry
# **Size of the total moment**: 0.0 μB/f.u.
# **Calculated formation energy**: -0.84 eV/atom
# **Raw total energy**: -10.912 eV/atom
data_HfC
_chemical_formula_sum 'Hf2 C2'
_cell_length_a 3.2880
_cell_length_b 3.2880
_cell_length_c 5.2038
_cell_angle_alpha 90.00
_cell_angle_beta 90.00
_cell_angle_gamma 120.00
_space_group_name_H-M_alt 'P 63/m m c'
_space_group_IT_number 194
_space_group_name_Hall '-P 6c 2c'
loop_
_atom_site_label
_atom_site_type_symbol
_atom_site_fract_x
_atom_site_fract_y
_atom_site_fract_z
_atom_site_occupancy
Hf1 Hf 0.3333 0.6667 0.2500 1
C1 C 0.0000 0.0000 0.0000 1

=====

Entry 2:
# SiSbI2N GGA-PBEsol optimized geometry
# **Size of the total moment**: 0.0 μB/f.u.
# **Energy relative to the elements, uncorrected**: 945 meV/atom
# **Raw total energy**: -3.528 eV/atom
data_SiSbI2N
_chemical_formula_sum 'Si1 Sb1 I2 N1'
_cell_length_a 5.9983
_cell_length_b 5.9983
_cell_length_c 3.9122
_cell_angle_alpha 90.00
_cell_angle_beta 90.00
_cell_angle_gamma 90.00
_space_group_name_H-M_alt 'P 4/m m m'
_space_group_IT_number 123
_space_group_name_Hall '-P 4 2'
loop_
_atom_site_label
_atom_site_type_symbol
_atom_site_fract_x
_atom_site_fract_y
_atom_site_fract_z
_atom_site_occupancy
Si1 Si 0.0000 0.0000 0.0000 1
Sb1 Sb 0.5000 0.5000 0.5000 1
I1 I 0.0000 0.5000 0.5000 1
N1 N 0.5000 0.5000 0.0000 1

=====

Entry 3:
# KCa2Ni GGA-PBEsol optimized geometry
# **Size of the total moment**: 0.0 μB/f.u.
# **Calculated formation energy**: 0.54 eV/atom
# **Raw total energy**: -2.350 eV/atom
data_KCa2Ni
_chemical_formula_sum 'K2 Ca4 Ni2'
_cell_length_a 4.7322
_cell_length_b 4.7322
_cell_length_c 10.5476
_cell_angle_alpha 90.00
_cell_angle_beta 90.00
_cell_angle_gamma 90.00
_space_group_name_H-M_alt 'I -4 m 2'
_space_group_IT_number 119
_space_group_name_Hall 'I -4 -2'
loop_
_atom_site_label
_atom_site_type_symbol
_atom_site_fract_x
_atom_site_fract_y
_atom_site_fract_z
_atom_site_occupancy
K1 K 0.0000 0.0000 0.0000 1
Ca1 Ca 0.0000 0.0000 0.5000 1
Ca2 Ca 0.0000 0.5000 0.7500 1
Ni1 Ni 0.0000 0.5000 0.2500 1

=====

Entry 4:
# LiLaTl2 GGA-PBEsol optimized geometry
# **Size of the total moment**: 0.0 μB/f.u.
# **Calculated formation energy**: -0.40 eV/atom
# **Raw total energy**: -3.547 eV/atom
data_LiLaTl2
_chemical_formula_sum 'Li4 La4 Tl8'
_cell_length_a 7.4564
_cell_length_b 7.4564
_cell_length_c 7.4564
_cell_angle_alpha 90.00
_cell_angle_beta 90.00
_cell_angle_gamma 90.00
_space_group_name_H-M_alt 'F m -3 m'
_space_group_IT_number 225
_space_group_name_Hall '-F 4 2 3'
loop_
_atom_site_label
_atom_site_type_symbol
_atom_site_fract_x
_atom_site_fract_y
_atom_site_fract_z
_atom_site_occupancy
Li1 Li 0.0000 0.0000 0.0000 1
La1 La 0.0000 0.0000 0.5000 1
Tl1 Tl 0.2500 0.2500 0.2500 1

=====

Entry 5:
# Ti2CoGe2 GGA-PBEsol optimized geometry
# **Size of the total moment**: 0.0 μB/f.u.
# **Calculated formation energy**: -0.60 eV/atom
# **Raw total energy**: -7.453 eV/atom
data_Ti2CoGe2
_chemical_formula_sum 'Ti4 Co2 Ge4'
_cell_length_a 6.0577
_cell_length_b 6.0577
_cell_length_c 3.9061
_cell_angle_alpha 90.00
_cell_angle_beta 90.00
_cell_angle_gamma 90.00
_space_group_name_H-M_alt 'P 4/m b m'
_space_group_IT_number 127
_space_group_name_Hall '-P 4 2ab'
loop_
_atom_site_label
_atom_site_type_symbol
_atom_site_fract_x
_atom_site_fract_y
_atom_site_fract_z
_atom_site_occupancy
Ti1 Ti 0.1639 0.3361 0.0000 1
Co1 Co 0.0000 0.0000 0.5000 1
Ge1 Ge 0.1451 0.6451 0.5000 1

=====

Entry 6:
# Ag15P4S16Cl3 GGA-PBEsol optimized geometry
# **Size of the total moment**: 0.0 μB/f.u.
# **Energy relative to the elements, uncorrected**: -220 meV/atom
# **Raw total energy**: -4.141 eV/atom
data_Ag15P4S16Cl3
_chemical_formula_sum 'Ag60 P16 S64 Cl12'
_cell_length_a 14.6588
_cell_length_b 14.6588
_cell_length_c 14.6588
_cell_angle_alpha 90.00
_cell_angle_beta 90.00
_cell_angle_gamma 90.00
_space_group_name_H-M_alt 'I -4 3 d'
_space_group_IT_number 220
_space_group_name_Hall 'I -4bd 2c 3'
loop_
_atom_site_label
_atom_site_type_symbol
_atom_site_fract_x
_atom_site_fract_y
_atom_site_fract_z
_atom_site_occupancy
Ag1 Ag 0.0000 0.2500 0.8750 1
Ag2 Ag 0.0316 0.1231 0.6635 1
P1 P 0.0485 0.0485 0.0485 1
S1 S 0.0251 0.3959 0.1563 1
S2 S 0.0317 0.4683 0.5317 1
Cl1 Cl 0.0000 0.2500 0.3750 1